[1]
The following is a DFT calculation (PBE) of crystalline NdGdInOs at its relaxed geometry.

Geometry as POSCAR:
```
NdGdInOs
1.0
5.152 0.000 0.000
2.576 4.462 0.000
2.576 1.487 4.207
Nd Gd Os In
1 1 1 1
direct
0.750 0.750 0.750
0.250 0.250 0.250
0.500 0.500 0.500
0.000 0.000 0.000
```

Output
electronic total energy = -8.339 eV/atom
calculated formation energy = -135 meV/atom
SG = F-43m, No. 216

***

[2]
The following is a DFT calculation (PBE) of crystalline PmNdGdIn at its relaxed geometry.

Geometry as POSCAR:
```
PmNdGdIn
1.0
5.562 0.000 0.000
2.781 4.817 0.000
2.781 1.606 4.541
In Gd Nd Pm
1 1 1 1
direct
0.000 0.000 0.000
0.250 0.250 0.250
0.750 0.750 0.750
0.500 0.500 0.500
```

Output
electronic total energy = -6.727 eV/atom
calculated formation energy = -143 meV/atom
SG = F-43m, No. 216

***

[3]
The following is a DFT calculation (PBE) of crystalline NdGdPuIn at its relaxed geometry.

Geometry as POSCAR:
```
NdGdPuIn
1.0
5.488 0.000 0.000
2.744 4.752 0.000
2.744 1.584 4.481
In Gd Nd Pu
1 1 1 1
direct
0.250 0.250 0.250
0.500 0.500 0.500
0.000 0.000 0.000
0.750 0.750 0.750
```

Output
electronic total energy = -9.045 eV/atom
calculated formation energy = -65 meV/atom
SG = F-43m, No. 216

***

[4]
The following is a DFT calculation (PBE) of crystalline NdGdInRh at its relaxed geometry.

Geometry as POSCAR:
```
NdGdInRh
1.0
5.207 0.000 0.000
2.604 4.510 0.000
2.604 1.503 4.252
Rh Gd Nd In
1 1 1 1
direct
0.750 0.750 0.750
0.500 0.500 0.500
0.000 0.000 0.000
0.250 0.250 0.250
```

Output
electronic total energy = -7.712 eV/atom
calculated formation energy = -477 meV/atom
SG = F-43m, No. 216

***

| no. | mass density (g/cm3) |
| --- | --- |
| 1 | 10.41 |
| 2 | 7.66 |
| 3 | 9.38 |
| 4 | 8.64 |